1.
# PmDy3O6 | Alexandria via LeMat-Bulk | PBE | relaxed
data_PmDy3O6
_chemical_formula_sum 'Pm6 Dy18 O36'
_symmetry_space_group_name_H-M 'R -3'
_symmetry_Int_Tables_number 148
_symmetry_space_group_name_Hall '-R 3'
_cell_length_a 9.7255
_cell_length_b 9.7255
_cell_length_c 11.5140
_cell_angle_alpha 90.00
_cell_angle_beta 90.00
_cell_angle_gamma 120.00
loop_
_atom_site_label
_atom_site_type_symbol
_atom_site_fract_x
_atom_site_fract_y
_atom_site_fract_z
Pm1 Pm 0.0000 0.0000 0.0000
Pm2 Pm 0.0000 0.0000 0.5000
Dy1 Dy 0.0373 0.2645 0.2113
O1 O 0.0247 0.2233 0.4022
O2 O 0.0283 0.1888 0.8647
# - Energy relative to the elements, uncorrected: -3.4899 eV/atom
# - Spin magnetization: 0.00 μB/f.u.
# - Crystal system: trigonal
# - Total energy: -499.23 eV per cell



2.
# Ca2TaTl | Alexandria via LeMat-Bulk | PBE | relaxed
data_Ca2TaTl
_chemical_formula_sum 'Ca2 Ta1 Tl1'
_symmetry_space_group_name_H-M 'P 4/m m m'
_symmetry_Int_Tables_number 123
_symmetry_space_group_name_Hall '-P 4 2'
_cell_length_a 3.220
_cell_length_b 3.220
_cell_length_c 10.067
_cell_angle_alpha 90.00
_cell_angle_beta 90.00
_cell_angle_gamma 90.00
loop_
_atom_site_label
_atom_site_type_symbol
_atom_site_fract_x
_atom_site_fract_y
_atom_site_fract_z
Ca1 Ca 0.000 0.000 0.243
Ta1 Ta 0.500 0.500 0.000
Tl1 Tl 0.500 0.500 0.500
# - Spin magnetization: 0.00 μB/f.u.
# - Crystal system: tetragonal
# - Total energy: -16.84 eV per cell



3.
# MgBe3Au | Alexandria via LeMat-Bulk | PBE | relaxed
data_MgBe3Au
_chemical_formula_sum 'Mg1 Be3 Au1'
_symmetry_space_group_name_H-M 'P m -3 m'
_symmetry_Int_Tables_number 221
_symmetry_space_group_name_Hall '-P 4 2 3'
_cell_length_a 4.373
_cell_length_b 4.373
_cell_length_c 4.373
_cell_angle_alpha 90.00
_cell_angle_beta 90.00
_cell_angle_gamma 90.00
loop_
_atom_site_label
_atom_site_type_symbol
_atom_site_fract_x
_atom_site_fract_y
_atom_site_fract_z
Mg1 Mg 0.000 0.000 0.000
Be1 Be 0.000 0.500 0.500
Au1 Au 0.500 0.500 0.500
# - Spin magnetization: 0.00 μB/f.u.
# - Crystal system: cubic
# - Total energy: -13.85 eV per cell



4.
# Ca2BeGe3 | Alexandria via LeMat-Bulk | PBE | relaxed
data_Ca2BeGe3
_chemical_formula_sum 'Ca2 Be1 Ge3'
_symmetry_space_group_name_H-M 'P m m 2'
_symmetry_Int_Tables_number 25
_symmetry_space_group_name_Hall 'P 2 -2'
_cell_length_a 4.080
_cell_length_b 4.388
_cell_length_c 7.064
_cell_angle_alpha 90.00
_cell_angle_beta 90.00
_cell_angle_gamma 90.00
loop_
_atom_site_label
_atom_site_type_symbol
_atom_site_fract_x
_atom_site_fract_y
_atom_site_fract_z
Ca1 Ca 0.000 0.000 0.000
Ca2 Ca 0.500 0.000 0.496
Be1 Be 0.000 0.500 0.677
Ge1 Ge 0.000 0.500 0.362
Ge2 Ge 0.500 0.500 0.161
Ge3 Ge 0.500 0.500 0.806
# - Spin magnetization: 0.00 μB/f.u.
# - Crystal system: orthorhombic
# - Total energy: -24.17 eV per cell



5.
# Mg6AgRh3 | Alexandria via LeMat-Bulk | PBE | relaxed
data_Mg6AgRh3
_chemical_formula_sum 'Mg12 Ag2 Rh6'
_symmetry_space_group_name_H-M 'P 1 21/m 1'
_symmetry_Int_Tables_number 11
_symmetry_space_group_name_Hall '-P 2yb'
_cell_length_a 7.977
_cell_length_b 4.515
_cell_length_c 9.626
_cell_angle_alpha 90.00
_cell_angle_beta 104.35
_cell_angle_gamma 90.00
loop_
_atom_site_label
_atom_site_type_symbol
_atom_site_fract_x
_atom_site_fract_y
_atom_site_fract_z
Mg1 Mg 0.034 0.250 0.407
Mg2 Mg 0.127 0.750 0.190
Mg3 Mg 0.227 0.250 0.982
Mg4 Mg 0.319 0.750 0.784
Mg5 Mg 0.339 0.250 0.302
Mg6 Mg 0.429 0.250 0.599
Ag1 Ag 0.450 0.750 0.098
Rh1 Rh 0.042 0.750 0.895
Rh2 Rh 0.145 0.250 0.696
Rh3 Rh 0.260 0.750 0.484
# - Spin magnetization: 0.00 μB/f.u.
# - Crystal system: monoclinic
# - Total energy: -76.70 eV per cell



6.
# Tm3PuAg3S8 | Alexandria via LeMat-Bulk | PBE | relaxed
data_Tm3PuAg3S8
_chemical_formula_sum 'Tm6 Pu2 Ag6 S16'
_symmetry_space_group_name_H-M 'C 1 2/m 1'
_symmetry_Int_Tables_number 12
_symmetry_space_group_name_Hall '-C 2y'
_cell_length_a 13.138
_cell_length_b 7.937
_cell_length_c 7.656
_cell_angle_alpha 90.00
_cell_angle_beta 122.79
_cell_angle_gamma 90.00
loop_
_atom_site_label
_atom_site_type_symbol
_atom_site_fract_x
_atom_site_fract_y
_atom_site_fract_z
Tm1 Tm 0.000 0.000 0.000
Tm2 Tm 0.250 0.250 0.500
Pu1 Pu 0.000 0.500 0.000
Ag1 Ag 0.000 0.500 0.500
Ag2 Ag 0.250 0.250 0.000
S1 S 0.005 0.250 0.245
S2 S 0.244 0.500 0.254
S3 S 0.246 0.000 0.253
# - Energy relative to the elements, uncorrected: -1.2925 eV/atom
# - Spin magnetization: 4.00 μB/f.u.
# - Crystal system: monoclinic
# - Total energy: -177.41 eV per cell



7.
# HfURh2 | Alexandria via LeMat-Bulk | PBE | relaxed
data_HfURh2
_chemical_formula_sum 'Hf1 U1 Rh2'
_symmetry_space_group_name_H-M 'P 4/m m m'
_symmetry_Int_Tables_number 123
_symmetry_space_group_name_Hall '-P 4 2'
_cell_length_a 3.216
_cell_length_b 3.216
_cell_length_c 7.142
_cell_angle_alpha 90.00
_cell_angle_beta 90.00
_cell_angle_gamma 90.00
loop_
_atom_site_label
_atom_site_type_symbol
_atom_site_fract_x
_atom_site_fract_y
_atom_site_fract_z
Hf1 Hf 0.000 0.000 0.000
U1 U 0.000 0.000 0.500
Rh1 Rh 0.500 0.500 0.225
# - Spin magnetization: 1.82 μB/f.u.
# - Crystal system: tetragonal
# - Total energy: -38.31 eV per cell



8.
# La3In | Alexandria via LeMat-Bulk | PBE | relaxed
data_La3In
_chemical_formula_sum 'La3 In1'
_symmetry_space_group_name_H-M 'P 1 2/m 1'
_symmetry_Int_Tables_number 10
_symmetry_space_group_name_Hall '-P 2y'
_cell_length_a 3.675
_cell_length_b 5.824
_cell_length_c 6.221
_cell_angle_alpha 90.00
_cell_angle_beta 96.99
_cell_angle_gamma 90.00
loop_
_atom_site_label
_atom_site_type_symbol
_atom_site_fract_x
_atom_site_fract_y
_atom_site_fract_z
La1 La 0.000 0.000 0.000
La2 La 0.288 0.500 0.728
In1 In 0.500 0.000 0.500
# - Spin magnetization: 0.00 μB/f.u.
# - Crystal system: monoclinic
# - Total energy: -18.28 eV per cell